(1)
This record from Alexandria describes a geometry-optimized ErTm2Te3 structure. The functional is PBE.

Symmetry: Immm
Formation energy (no corrections), eV per atom: -1.180
Density of states at the Fermi level, states/eV/atom: 0.461

The structure in CIF format:
```
data_ErTm2Te3
_chemical_formula_sum 'Er1 Tm2 Te3'
_cell_length_a 7.438
_cell_length_b 7.438
_cell_length_c 7.438
_cell_angle_alpha 146.12
_cell_angle_beta 131.85
_cell_angle_gamma 60.17
_symmetry_space_group_name_H-M 'P 1'
_symmetry_Int_Tables_number 1
_symmetry_space_group_name_Hall 'P 1'
loop_
_atom_site_label
_atom_site_fract_x
_atom_site_fract_y
_atom_site_fract_z
_atom_site_occupancy
Er1 0.000 0.000 0.000 1
Tm1 0.336 0.336 0.000 1
Tm2 0.664 0.664 0.000 1
Te1 0.168 0.668 0.500 1
Te2 0.500 0.000 0.500 1
Te3 0.832 0.332 0.500 1
```


(2)
This record from Alexandria describes a geometry-optimized CoGe2 structure. The functional is PBE.

Symmetry: Cmce
DFT formation energy, eV/f.u.: -0.47
Density of states at the Fermi level, states/eV/atom: 0.512

The structure in CIF format:
```
data_CoGe2
_chemical_formula_sum 'Co4 Ge8'
_cell_length_a 6.147
_cell_length_b 6.147
_cell_length_c 5.680
_cell_angle_alpha 90.00
_cell_angle_beta 90.00
_cell_angle_gamma 54.88
_symmetry_space_group_name_H-M 'P 1'
_symmetry_Int_Tables_number 1
_symmetry_space_group_name_Hall 'P 1'
loop_
_atom_site_label
_atom_site_fract_x
_atom_site_fract_y
_atom_site_fract_z
_atom_site_occupancy
Co1 0.117 0.117 0.000 1
Co2 0.383 0.383 0.500 1
Co3 0.617 0.617 0.500 1
Co4 0.883 0.883 0.000 1
Ge1 0.001 0.499 0.750 1
Ge2 0.158 0.842 0.659 1
Ge3 0.342 0.658 0.159 1
Ge4 0.499 0.001 0.250 1
Ge5 0.501 0.999 0.750 1
Ge6 0.658 0.342 0.841 1
Ge7 0.842 0.158 0.341 1
Ge8 0.999 0.501 0.250 1
```


(3)
This record from Alexandria describes a geometry-optimized Sc3Si2Rh6 structure. The functional is PBE.

Symmetry: Im-3m
Formation energy (no corrections), eV per atom: -0.757
Density of states at the Fermi level, states/eV/atom: 0.746

The structure in CIF format:
```
data_Sc3Si2Rh6
_chemical_formula_sum 'Sc6 Si4 Rh12'
_cell_length_a 7.861
_cell_length_b 7.861
_cell_length_c 7.861
_cell_angle_alpha 109.47
_cell_angle_beta 109.47
_cell_angle_gamma 109.47
_symmetry_space_group_name_H-M 'P 1'
_symmetry_Int_Tables_number 1
_symmetry_space_group_name_Hall 'P 1'
loop_
_atom_site_label
_atom_site_fract_x
_atom_site_fract_y
_atom_site_fract_z
_atom_site_occupancy
Sc1 0.000 0.296 0.296 1
Sc2 0.000 0.704 0.704 1
Sc3 0.296 0.000 0.296 1
Sc4 0.296 0.296 0.000 1
Sc5 0.704 0.000 0.704 1
Sc6 0.704 0.704 0.000 1
Si1 0.000 0.000 0.500 1
Si2 0.000 0.500 0.000 1
Si3 0.500 0.000 0.000 1
Si4 0.500 0.500 0.500 1
Rh1 0.000 0.315 0.685 1
Rh2 0.000 0.685 0.315 1
Rh3 0.315 0.000 0.685 1
Rh4 0.315 0.315 0.630 1
Rh5 0.315 0.630 0.315 1
Rh6 0.315 0.685 0.000 1
Rh7 0.370 0.685 0.685 1
Rh8 0.630 0.315 0.315 1
Rh9 0.685 0.000 0.315 1
Rh10 0.685 0.315 0.000 1
Rh11 0.685 0.370 0.685 1
Rh12 0.685 0.685 0.370 1
```


(4)
This record from Alexandria describes a geometry-optimized CaGd2Dy structure. The functional is PBE.

Symmetry: P4/mmm
DFT formation energy, eV/f.u.: 0.47
Density of states at the Fermi level, states/eV/atom: 2.094

The structure in CIF format:
```
data_CaGd2Dy
_chemical_formula_sum 'Ca1 Gd2 Dy1'
_cell_length_a 5.148
_cell_length_b 5.148
_cell_length_c 5.113
_cell_angle_alpha 90.00
_cell_angle_beta 90.00
_cell_angle_gamma 90.00
_symmetry_space_group_name_H-M 'P 1'
_symmetry_Int_Tables_number 1
_symmetry_space_group_name_Hall 'P 1'
loop_
_atom_site_label
_atom_site_fract_x
_atom_site_fract_y
_atom_site_fract_z
_atom_site_occupancy
Ca1 0.000 0.000 0.000 1
Gd1 0.000 0.500 0.500 1
Gd2 0.500 0.000 0.500 1
Dy1 0.500 0.500 0.000 1
```


The records above give, respectively, magnetic moment values of 0.00 0.00 0.00 15.83 μB per formula unit.